No. 1
Material: Hf5Pa3N12
Method: DFT, PBE-GGA
State: optimized geometry

Cell and atoms, written as POSCAR:
```
Hf5Pa3N12
1.0
-6.5258 6.5258 6.5258
6.5258 -6.5258 6.5258
6.5258 6.5258 -6.5258
Hf Pa N
20 12 48
Direct
0.0000 0.0000 0.0000 Hf
0.0000 0.0000 0.5000 Hf
0.0000 0.5000 0.0000 Hf
0.0000 0.5000 0.5000 Hf
0.1250 0.7500 0.8750 Hf
0.1250 0.8750 0.2500 Hf
0.2500 0.1250 0.8750 Hf
0.2500 0.6250 0.3750 Hf
0.3750 0.2500 0.6250 Hf
0.3750 0.6250 0.7500 Hf
0.5000 0.0000 0.0000 Hf
0.5000 0.0000 0.5000 Hf
0.5000 0.5000 0.0000 Hf
0.5000 0.5000 0.5000 Hf
0.6250 0.3750 0.2500 Hf
0.6250 0.7500 0.3750 Hf
0.7500 0.3750 0.6250 Hf
0.7500 0.8750 0.1250 Hf
0.8750 0.1250 0.7500 Hf
0.8750 0.2500 0.1250 Hf
0.1250 0.2500 0.3750 Pa
0.1250 0.3750 0.7500 Pa
0.2500 0.3750 0.1250 Pa
0.2500 0.8750 0.6250 Pa
0.3750 0.1250 0.2500 Pa
0.3750 0.7500 0.1250 Pa
0.6250 0.2500 0.8750 Pa
0.6250 0.8750 0.7500 Pa
0.7500 0.1250 0.3750 Pa
0.7500 0.6250 0.8750 Pa
0.8750 0.6250 0.2500 Pa
0.8750 0.7500 0.6250 Pa
0.0421 0.2169 0.1328 N
0.0421 0.3252 0.9093 N
0.0842 0.7169 0.6748 N
0.0842 0.8672 0.4093 N
0.0907 0.6328 0.4158 N
0.0907 0.9579 0.6748 N
0.1328 0.0421 0.2169 N
0.1328 0.5907 0.9158 N
0.1748 0.2169 0.5842 N
0.1748 0.4579 0.5907 N
0.2169 0.1328 0.0421 N
0.2169 0.5842 0.1748 N
0.2831 0.3252 0.9158 N
0.2831 0.4579 0.3672 N
0.3252 0.9093 0.0421 N
0.3252 0.9158 0.2831 N
0.3672 0.2831 0.4579 N
0.3672 0.5842 0.9093 N
0.4093 0.0842 0.8672 N
0.4093 0.8252 0.5421 N
0.4158 0.0907 0.6328 N
0.4158 0.8252 0.7831 N
0.4579 0.3672 0.2831 N
0.4579 0.5907 0.1748 N
0.5421 0.4093 0.8252 N
0.5421 0.6328 0.7169 N
0.5842 0.1748 0.2169 N
0.5842 0.9093 0.3672 N
0.5907 0.1748 0.4579 N
0.5907 0.9158 0.1328 N
0.6328 0.4158 0.0907 N
0.6328 0.7169 0.5421 N
0.6748 0.0842 0.7169 N
0.6748 0.0907 0.9579 N
0.7169 0.5421 0.6328 N
0.7169 0.6748 0.0842 N
0.7831 0.4158 0.8252 N
0.7831 0.8672 0.9579 N
0.8252 0.5421 0.4093 N
0.8252 0.7831 0.4158 N
0.8672 0.4093 0.0842 N
0.8672 0.9579 0.7831 N
0.9093 0.0421 0.3252 N
0.9093 0.3672 0.5842 N
0.9158 0.1328 0.5907 N
0.9158 0.2831 0.3252 N
0.9579 0.6748 0.0907 N
0.9579 0.7831 0.8672 N
```

Properties
The spin magnetization comes out at 0.00 μB/f.u. The calculation puts the formation energy without anion corrections at -29.33 eV per formula unit.

No. 2
Material: Hf2PaN4
Method: DFT, PBE-GGA
State: optimized geometry

Cell and atoms, written as POSCAR:
```
Hf2PaN4
1.0
1.6072 -5.2762 0.0000
1.6072 5.2762 0.0000
0.0000 0.0000 10.5347
Hf Pa N
4 2 8
Direct
0.1304 0.8696 0.5658 Hf
0.1304 0.8696 0.9342 Hf
0.8696 0.1304 0.0658 Hf
0.8696 0.1304 0.4342 Hf
0.3841 0.6159 0.7500 Pa
0.6159 0.3841 0.2500 Pa
0.0372 0.9628 0.7500 N
0.2279 0.7721 0.1180 N
0.2279 0.7721 0.3820 N
0.5000 0.5000 0.0000 N
0.5000 0.5000 0.5000 N
0.7721 0.2279 0.6180 N
0.7721 0.2279 0.8820 N
0.9628 0.0372 0.2500 N
```

Properties
The energy relative to the lowest polymorph listed for this composition comes out at 0 meV/atom. The spin magnetization comes out at 0.00 μB/f.u. The calculation puts the formation energy without anion corrections at -12.09 eV per formula unit.

No. 3
Material: HfPa2PdN5
Method: DFT, PBE-GGA
State: optimized geometry

Cell and atoms, written as POSCAR:
```
HfPa2PdN5
1.0
1.6863 -6.4918 0.0000
1.6863 6.4918 0.0000
0.0000 0.0000 10.5611
Hf Pa Pd N
2 4 2 10
Direct
0.2029 0.7971 0.5000 Hf
0.7971 0.2029 0.0000 Hf
0.0991 0.9009 0.1636 Pa
0.1446 0.8554 0.7907 Pa
0.8554 0.1446 0.2907 Pa
0.9009 0.0991 0.6636 Pa
0.4727 0.5273 0.9424 Pd
0.5273 0.4727 0.4424 Pd
0.0571 0.9429 0.5842 N
0.2729 0.7271 0.1524 N
0.3129 0.6871 0.8647 N
0.3668 0.6332 0.4857 N
0.4861 0.5139 0.2554 N
0.5139 0.4861 0.7554 N
0.6332 0.3668 0.9857 N
0.6871 0.3129 0.3647 N
0.7271 0.2729 0.6524 N
0.9429 0.0571 0.0842 N
```

Properties
The spin magnetization comes out at 0.00 μB/f.u. The calculation puts the formation energy without anion corrections at -10.15 eV per formula unit.

No. 4
Material: Pm3HfPa3N8
Method: DFT, PBE-GGA
State: optimized geometry

Cell and atoms, written as POSCAR:
```
Pm3HfPa3N8
1.0
3.4805 2.0095 5.7624
-3.4805 2.0095 5.7624
0.0000 -4.0190 5.7624
Pm Hf Pa N
3 1 3 8
Direct
0.0000 0.5000 0.5000 Pm
0.5000 0.0000 0.5000 Pm
0.5000 0.5000 0.0000 Pm
0.5000 0.5000 0.5000 Hf
0.0000 0.0000 0.5000 Pa
0.0000 0.5000 0.0000 Pa
0.5000 0.0000 0.0000 Pa
0.2408 0.2408 0.2408 N
0.2497 0.7258 0.7258 N
0.2742 0.2742 0.7503 N
0.2742 0.7503 0.2742 N
0.7258 0.2497 0.7258 N
0.7258 0.7258 0.2497 N
0.7503 0.2742 0.2742 N
0.7592 0.7592 0.7592 N
```

Properties
The spin magnetization comes out at 0.00 μB/f.u. The calculation puts the formation energy without anion corrections at -23.12 eV per formula unit.

No. 5
Material: Pm3HfPa2N6
Method: DFT, PBE-GGA
State: optimized geometry

Cell and atoms, written as POSCAR:
```
Pm3HfPa2N6
1.0
3.0188 -5.2261 0.0000
3.0188 5.2261 0.0000
-2.0011 0.0000 5.7752
Pm Hf Pa N
3 1 2 6
Direct
0.0000 0.0000 0.0000 Pm
0.3347 0.6653 0.0000 Pm
0.6653 0.3347 0.0000 Pm
0.5000 0.5000 0.5000 Hf
0.1665 0.8335 0.5000 Pa
0.8335 0.1665 0.5000 Pa
0.1032 0.4300 0.2895 N
0.2462 0.2462 0.7157 N
0.4300 0.1032 0.2895 N
0.5700 0.8968 0.7105 N
0.7538 0.7538 0.2843 N
0.8968 0.5700 0.7105 N
```

Properties
The spin magnetization comes out at 0.00 μB/f.u. The calculation puts the formation energy without anion corrections at -19.39 eV per formula unit.

No. 6
Material: PmHfPa2N4
Method: DFT, PBE-GGA
State: optimized geometry

Cell and atoms, written as POSCAR:
```
PmHfPa2N4
1.0
5.9864 0.0000 0.0000
0.0000 3.4321 0.0000
-1.9664 0.0000 5.6580
Pm Hf Pa N
1 1 2 4
Direct
0.0000 0.0000 0.0000 Pm
0.0000 0.5000 0.5000 Hf
0.5000 0.0000 0.5000 Pa
0.5000 0.5000 0.0000 Pa
0.2368 0.0000 0.7243 N
0.2522 0.5000 0.2774 N
0.7478 0.5000 0.7226 N
0.7632 0.0000 0.2757 N
```

Properties
The spin magnetization comes out at 0.00 μB/f.u. The calculation puts the formation energy without anion corrections at -12.67 eV per formula unit.

No. 7
Material: Pr3HfPa2N6
Method: DFT, PBE-GGA
State: optimized geometry

Cell and atoms, written as POSCAR:
```
Pr3HfPa2N6
1.0
3.0348 -5.2531 0.0000
3.0348 5.2531 0.0000
-2.0141 0.0000 5.8857
Pr Hf Pa N
3 1 2 6
Direct
0.0000 0.0000 0.0000 Pr
0.3346 0.6654 0.0000 Pr
0.6654 0.3346 0.0000 Pr
0.5000 0.5000 0.5000 Hf
0.1666 0.8334 0.5000 Pa
0.8334 0.1666 0.5000 Pa
0.1062 0.4330 0.2987 N
0.2424 0.2424 0.7057 N
0.4330 0.1062 0.2987 N
0.5670 0.8938 0.7013 N
0.7576 0.7576 0.2943 N
0.8938 0.5670 0.7013 N
```

Properties
The spin magnetization comes out at 0.00 μB/f.u. The calculation puts the formation energy without anion corrections at -18.81 eV per formula unit.

No. 8
Material: Pr3HfPa3N8
Method: DFT, PBE-GGA
State: optimized geometry

Cell and atoms, written as POSCAR:
```
Pr3HfPa3N8
1.0
3.4952 2.0180 5.8690
-3.4952 2.0180 5.8690
0.0000 -4.0360 5.8690
Pr Hf Pa N
3 1 3 8
Direct
0.0000 0.5000 0.5000 Pr
0.5000 0.0000 0.5000 Pr
0.5000 0.5000 0.0000 Pr
0.5000 0.5000 0.5000 Hf
0.0000 0.0000 0.5000 Pa
0.0000 0.5000 0.0000 Pa
0.5000 0.0000 0.0000 Pa
0.2371 0.2371 0.2371 N
0.2459 0.7243 0.7243 N
0.2757 0.2757 0.7541 N
0.2757 0.7541 0.2757 N
0.7243 0.2459 0.7243 N
0.7243 0.7243 0.2459 N
0.7541 0.2757 0.2757 N
0.7629 0.7629 0.7629 N
```

Properties
The spin magnetization comes out at 0.00 μB/f.u. The calculation puts the formation energy without anion corrections at -22.58 eV per formula unit.